Computed, not measured: MgCrFe2 after structural relaxation at the PBE level of DFT.

Cell: 3.0774 4.2044 8.0139 Å, 90.00 90.00 90.00°
Atoms (fractional coordinates):
Mg 0.0000 0.0000 0.0000
Mg 0.5000 0.5000 0.5000
Cr 0.0000 0.0000 0.5000
Cr 0.5000 0.5000 0.0000
Fe 0.0000 0.5000 0.2357
Fe 0.0000 0.5000 0.7643
Fe 0.5000 0.0000 0.2643
Fe 0.5000 0.0000 0.7357

Results
VASP energy = -6.7358 eV per atom
energy relative to the elements = 300 meV per atom